[1]
This record from Alexandria via LeMat-Bulk describes a geometry-optimized Er3Tm2UN6 structure. The functional is GGA-PBE.

a b c (Å): 5.9104 10.2370 5.9115
angles (deg): 90.00 109.41 90.00
With the nearest neighbours (Å) after each atom.
Space group C2/m (No. 12)
Inequivalent atoms, fractional coordinates:
Er 0.0000 0.0000 0.0000 (multiplicity 2)  6 N 2.41-2.51
Er 0.0000 0.3318 0.0000 (multiplicity 4)  6 N 2.41-2.49
Tm 0.0000 0.1663 0.5000 (multiplicity 4)  6 N 2.41-2.42
U 0.0000 0.5000 0.5000 (multiplicity 2)  6 N 2.31-2.33
N 0.2399 0.5000 0.2611 (multiplicity 4)  1 U 2.31, 2 Tm 2.41, 3 Er 2.43-2.51
N 0.2410 0.3398 0.7421 (multiplicity 8)  1 U 2.33, 3 Er 2.41-2.49, 2 Tm 2.42

Summary:
* E_form (uncorrected): -1.7413 eV per atom
* magnetic moment: 0.882 μB per formula unit
* calculated density: 11.44 g cm⁻³

---

[2]
This record from Alexandria via LeMat-Bulk describes a geometry-optimized ZrTaBr3 structure. The functional is GGA-PBE.

a b c (Å): 5.1411 5.1411 5.1411
angles (deg): 90.00 90.00 90.00
With the nearest neighbours (Å) after each atom.
Space group Pm-3m (No. 221)
Inequivalent atoms, fractional coordinates:
Zr 0.0000 0.0000 0.0000 (multiplicity 1)  12 Br 3.64
Ta 0.5000 0.5000 0.5000 (multiplicity 1)  6 Br 2.57
Br 0.0000 0.5000 0.5000 (multiplicity 3)  2 Ta 2.57

Summary:
* E_form (uncorrected): 0.6205 eV per atom
* magnetic moment: 3.406 μB per formula unit
* calculated density: 6.26 g cm⁻³
* ΔE to the lowest computed polymorph: 0.037 eV/atom

---

[3]
This record from Alexandria via LeMat-Bulk describes a geometry-optimized Th2Al4CuPt3 structure. The functional is GGA-PBE.

a b c (Å): 4.3071 4.3071 10.2829
angles (deg): 90.00 90.00 90.00
With the nearest neighbours (Å) after each atom.
Space group P-4m2 (No. 115)
Inequivalent atoms, fractional coordinates:
Th 0.0000 0.5000 0.2457 (multiplicity 2)  6 Pt 3.29-3.32, 8 Al 3.29-3.39, 2 Cu 3.32
Al 0.0000 0.0000 0.5000 (multiplicity 1)  4 Pt 2.56
Al 0.0000 0.5000 0.8755 (multiplicity 2)  3 Pt 2.48-2.51, 2 Cu 2.51
Al 0.5000 0.5000 0.5000 (multiplicity 1)  4 Pt 2.56
Cu 0.5000 0.5000 0.0000 (multiplicity 1)  4 Al 2.51
Pt 0.0000 0.0000 0.0000 (multiplicity 1)  4 Al 2.51
Pt 0.0000 0.5000 0.6345 (multiplicity 2)  5 Al 2.48-2.56

Summary:
* magnetic moment: 0.001 μB per formula unit
* DFT formation energy: -0.967 eV/atom
* calculated density: 10.63 g cm⁻³

---

[4]
This record from Alexandria via LeMat-Bulk describes a geometry-optimized KAgTe2 structure. The functional is GGA-PBE.

a b c (Å): 4.0158 5.4674 11.3144
angles (deg): 90.00 90.00 90.00
With the nearest neighbours (Å) after each atom.
Space group Imm2 (No. 44)
Inequivalent atoms, fractional coordinates:
K 0.0000 0.0000 0.0000 (multiplicity 2)  6 Te 3.40-3.59, 2 Ag 3.53
Ag 0.0000 0.5000 0.1979 (multiplicity 2)  2 Te 2.87
Te 0.0000 0.0000 0.5167 (multiplicity 2)  2 Ag 2.87
Te 0.0000 0.5000 0.7941 (multiplicity 2)  2 Te 3.22, 4 Ag 3.56, 2 K 3.59

Summary:
* E_form (uncorrected): -0.1927 eV per atom
* magnetic moment: 0.000 μB per formula unit
* calculated density: 5.38 g cm⁻³

---

[5]
This record from Alexandria via LeMat-Bulk describes a geometry-optimized Ce2NdDy6Ho3 structure. The functional is GGA-PBE.

a b c (Å): 6.1362 10.6294 11.7446
angles (deg): 90.00 100.04 90.00
With the nearest neighbours (Å) after each atom.
Space group C2/m (No. 12)
Inequivalent atoms, fractional coordinates:
Ce 0.0000 0.1667 0.0000 (multiplicity 4)  3 Ce 3.54, 3 Nd 3.54, 6 Dy 3.54-3.55
Nd 0.0000 0.5000 0.0000 (multiplicity 2)  6 Ce 3.54, 6 Dy 3.56
Dy 0.2480 0.0000 0.2507 (multiplicity 4)  3 Ho 3.53-3.54, 6 Dy 3.53-3.57, 2 Ce 3.55, 1 Nd 3.56
Dy 0.2478 0.1681 0.7492 (multiplicity 8)  3 Ho 3.52-3.54, 6 Dy 3.53-3.57, 2 Ce 3.54, 1 Nd 3.56
Ho 0.0000 0.0000 0.5000 (multiplicity 2)  6 Dy 3.53-3.54, 6 Ho 3.54-3.55
Ho 0.0000 0.3337 0.5000 (multiplicity 4)  6 Dy 3.52-3.54, 6 Ho 3.54-3.55

Summary:
* magnetic moment: 1.834 μB per formula unit
* DFT formation energy: 0.050 eV/atom
* calculated density: 8.34 g cm⁻³

---

[6]
This record from Alexandria via LeMat-Bulk describes a geometry-optimized Mg3MnS4 structure. The functional is GGA-PBE.

a b c (Å): 6.3899 7.3786 6.3911
angles (deg): 90.00 109.50 90.00
With the nearest neighbours (Å) after each atom.
Space group P2/c (No. 13)
Inequivalent atoms, fractional coordinates:
Mg 0.0000 0.1244 0.2500 (multiplicity 2)  6 S 2.61-2.62
Mg 0.0000 0.3743 0.7500 (multiplicity 2)  6 S 2.61-2.62
Mg 0.5000 0.3745 0.2500 (multiplicity 2)  6 S 2.61
Mn 0.5000 0.1260 0.7500 (multiplicity 2)  6 S 2.60
S 0.2507 0.3743 0.5008 (multiplicity 4)  1 Mn 2.60, 5 Mg 2.61-2.62
S 0.2518 0.1239 0.0002 (multiplicity 4)  2 Mn 2.60, 4 Mg 2.61-2.62

Summary:
* E_form (uncorrected): -1.1967 eV per atom
* magnetic moment: 5.000 μB per formula unit
* calculated density: 2.99 g cm⁻³